The following is a PBE calculation of crystalline Tc3Ir at its relaxed geometry, from the Alexandria database.

```
data_Tc3Ir
_cell_length_a 4.9093
_cell_length_b 4.9093
_cell_length_c 4.9093
_cell_angle_alpha 90.00
_cell_angle_beta 90.00
_cell_angle_gamma 90.00
_symmetry_space_group_name_H-M 'P m -3 n'
_symmetry_Int_Tables_number 223
_symmetry_space_group_name_Hall '-P 4n 2 3'
loop_
_atom_site_label
_atom_site_type_symbol
_atom_site_fract_x
_atom_site_fract_y
_atom_site_fract_z
Tc1 Tc 0.0000 0.2500 0.5000
Ir1 Ir 0.0000 0.0000 0.0000
```

Output
- Polymorph energy (0 for the lowest one): 278 meV/atom
- Crystal system: cubic
- Calculated formation energy: 0.06 eV per atom


The following is a PBE calculation of crystalline TcIr at its relaxed geometry, from the Alexandria database.

```
data_TcIr
_cell_length_a 5.5635
_cell_length_b 5.5635
_cell_length_c 5.5635
_cell_angle_alpha 90.00
_cell_angle_beta 90.00
_cell_angle_gamma 90.00
_symmetry_space_group_name_H-M 'F -4 3 m'
_symmetry_Int_Tables_number 216
_symmetry_space_group_name_Hall 'F -4 2 3'
loop_
_atom_site_label
_atom_site_type_symbol
_atom_site_fract_x
_atom_site_fract_y
_atom_site_fract_z
Tc1 Tc 0.0000 0.0000 0.0000
Ir1 Ir 0.2500 0.2500 0.2500
```

Output
- Polymorph energy (0 for the lowest one): 1237 meV/atom
- Crystal system: cubic
- Calculated formation energy: 0.95 eV per atom


The following is a PBE calculation of crystalline TcIr at its relaxed geometry, from the Alexandria database.

```
data_TcIr
_cell_length_a 3.2873
_cell_length_b 3.2873
_cell_length_c 5.5465
_cell_angle_alpha 90.00
_cell_angle_beta 90.00
_cell_angle_gamma 90.00
_symmetry_space_group_name_H-M 'P 4/n m m'
_symmetry_Int_Tables_number 129
loop_
_symmetry_equiv_pos_as_xyz
'x,y,z'
'-x,-y,-z'
'-y+1/2,x,z'
'y+1/2,-x,-z'
'-x+1/2,-y+1/2,z'
'x+1/2,y+1/2,-z'
'y,-x+1/2,z'
'-y,x+1/2,-z'
'x+1/2,-y,-z'
'-x+1/2,y,z'
'-y,-x,-z'
'y,x,z'
'-x,y+1/2,-z'
'x,-y+1/2,z'
'y+1/2,x+1/2,-z'
'-y+1/2,-x+1/2,z'
loop_
_atom_site_label
_atom_site_type_symbol
_atom_site_fract_x
_atom_site_fract_y
_atom_site_fract_z
Tc1 Tc 0.2500 0.2500 0.1322
Ir1 Ir 0.2500 0.2500 0.6161
```

Output
- Polymorph energy (0 for the lowest one): 540 meV/atom
- Crystal system: tetragonal
- Calculated formation energy: 0.26 eV per atom


The following is a PBE calculation of crystalline TcIr2 at its relaxed geometry, from the Alexandria database.

```
data_TcIr2
_cell_length_a 5.9987
_cell_length_b 5.9987
_cell_length_c 5.9987
_cell_angle_alpha 90.00
_cell_angle_beta 90.00
_cell_angle_gamma 90.00
_symmetry_space_group_name_H-M 'P a -3'
_symmetry_Int_Tables_number 205
_symmetry_space_group_name_Hall '-P 2ac 2ab 3'
loop_
_atom_site_label
_atom_site_type_symbol
_atom_site_fract_x
_atom_site_fract_y
_atom_site_fract_z
Tc1 Tc 0.0000 0.0000 0.0000
Ir1 Ir 0.1159 0.6159 0.8841
```

Output
- Polymorph energy (0 for the lowest one): 1112 meV/atom
- Crystal system: cubic
- Calculated formation energy: 0.89 eV per atom